No. 1
Here is crystalline TaZn2Co2 at its relaxed geometry from Alexandria via LeMat-Bulk. Energies are from GGA-PBE. Values from VASP.

Geometry as Quantum ESPRESSO input:
```
&SYSTEM
  ibrav = 0, nat = 10, ntyp = 3
/
ATOMIC_SPECIES
Ta 180.95 Ta.upf
Zn 65.41 Zn.upf
Co 58.93 Co.upf
CELL_PARAMETERS angstrom
6.979 0.000 0.000
0.000 6.979 0.000
0.000 0.000 2.717
ATOMIC_POSITIONS crystal
Ta 0.000 0.000 0.000
Ta 0.500 0.500 0.000
Zn 0.121 0.379 0.000
Zn 0.379 0.879 0.000
Zn 0.621 0.121 0.000
Zn 0.879 0.621 0.000
Co 0.179 0.679 0.500
Co 0.321 0.179 0.500
Co 0.679 0.821 0.500
Co 0.821 0.321 0.500
```

Summary:
energy relative to the elements: 0.0417 eV per atom

No. 2
Here is crystalline TaZnCo2 at its relaxed geometry from Alexandria via LeMat-Bulk. Energies are from GGA-PBE. Values from VASP.

Geometry as Quantum ESPRESSO input:
```
&SYSTEM
  ibrav = 0, nat = 4, ntyp = 3
/
ATOMIC_SPECIES
Ta 180.95 Ta.upf
Zn 65.41 Zn.upf
Co 58.93 Co.upf
CELL_PARAMETERS angstrom
0.000 2.991 2.991
2.991 0.000 2.991
2.991 2.991 0.000
ATOMIC_POSITIONS crystal
Ta 0.000 0.000 0.000
Zn 0.250 0.250 0.250
Co 0.500 0.500 0.500
Co 0.750 0.750 0.750
```

Summary:
energy relative to the elements: 0.1299 eV per atom

No. 3
Here is crystalline TaZnCo2 at its relaxed geometry from Alexandria via LeMat-Bulk. Energies are from GGA-PBE. Values from VASP.

Geometry as Quantum ESPRESSO input:
```
&SYSTEM
  ibrav = 0, nat = 8, ntyp = 3
/
ATOMIC_SPECIES
Ta 180.95 Ta.upf
Zn 65.41 Zn.upf
Co 58.93 Co.upf
CELL_PARAMETERS angstrom
-3.262 3.262 2.685
3.262 -3.262 2.685
3.262 3.262 -2.685
ATOMIC_POSITIONS crystal
Ta 0.000 0.000 0.000
Ta 0.750 0.250 0.500
Zn 0.250 0.750 0.500
Zn 0.500 0.500 0.000
Co 0.120 0.125 0.495
Co 0.375 0.880 0.005
Co 0.630 0.625 0.505
Co 0.875 0.370 0.995
```

Summary:
energy relative to the elements: 0.3777 eV per atom

No. 4
Here is crystalline TaZnCo2 at its relaxed geometry from Alexandria via LeMat-Bulk. Energies are from GGA-PBE. Values from VASP.

Geometry as Quantum ESPRESSO input:
```
&SYSTEM
  ibrav = 0, nat = 4, ntyp = 3
/
ATOMIC_SPECIES
Ta 180.95 Ta.upf
Zn 65.41 Zn.upf
Co 58.93 Co.upf
CELL_PARAMETERS angstrom
4.098 0.000 0.000
0.000 4.098 0.000
0.000 0.000 3.104
ATOMIC_POSITIONS crystal
Ta 0.000 0.000 0.000
Zn 0.500 0.500 0.000
Co 0.000 0.500 0.500
Co 0.500 0.000 0.500
```

Summary:
energy relative to the elements: -0.1223 eV per atom

No. 5
Here is crystalline TaZnCo at its relaxed geometry from Alexandria via LeMat-Bulk. Energies are from GGA-PBE. Values from VASP.

Geometry as Quantum ESPRESSO input:
```
&SYSTEM
  ibrav = 0, nat = 3, ntyp = 3
/
ATOMIC_SPECIES
Ta 180.95 Ta.upf
Zn 65.41 Zn.upf
Co 58.93 Co.upf
CELL_PARAMETERS angstrom
-1.393 1.859 4.070
1.393 -1.859 4.070
1.393 1.859 -4.070
ATOMIC_POSITIONS crystal
Ta 0.000 0.000 0.000
Zn 0.678 0.678 0.000
Co 0.331 0.331 0.000
```

Summary:
energy relative to the elements: -0.0166 eV per atom

No. 6
Here is crystalline TaZnCo2 at its relaxed geometry from Alexandria via LeMat-Bulk. Energies are from GGA-PBE. Values from VASP.

Geometry as Quantum ESPRESSO input:
```
&SYSTEM
  ibrav = 0, nat = 4, ntyp = 3
/
ATOMIC_SPECIES
Ta 180.95 Ta.upf
Zn 65.41 Zn.upf
Co 58.93 Co.upf
CELL_PARAMETERS angstrom
1.354 0.782 8.670
-1.354 0.782 8.670
0.000 -1.564 8.670
ATOMIC_POSITIONS crystal
Ta 0.000 0.000 0.000
Zn 0.238 0.238 0.238
Co 0.492 0.492 0.492
Co 0.753 0.753 0.753
```

Summary:
energy relative to the elements: 0.1778 eV per atom